[1]
A relaxed structure of DyHoBiTe, computed with PBE-GGA.

It has space group P4mm (No. 99), with a = 4.4070 Å, b = 4.4070 Å, c = 6.2314 Å, α = 90.00°, β = 90.00° and γ = 90.00°. Symmetry generates all atoms from Dy at (0.0000, 0.0000, 0.0000), Ho at (0.5000, 0.5000, 0.5019), Bi at (0.5000, 0.5000, 0.0017) and Te at (0.0000, 0.0000, 0.5003).

The value obtained for the volume is 30.256 A^3/atom. The calculation puts the formation energy from raw total energies at -4.31 eV per formula unit. The spin magnetization is 0.0 μB/f.u.

[2]
A relaxed structure of Ag24Pb5, computed with PBE-GGA.

It has space group I-43m (No. 217), with a = 10.5215 Å, b = 10.5215 Å, c = 10.5215 Å, α = 90.00°, β = 90.00° and γ = 90.00°. Symmetry generates all atoms from Ag at (0.0456, 0.3665, 0.3665), Ag at (0.0948, 0.0948, 0.2870), Pb at (0.0000, 0.0000, 0.0000) and Pb at (0.1847, 0.1847, 0.8153).

The value obtained for the volume is 20.082 A^3/atom. For the formation energy, the calculation gives 0.0834 eV/atom. The spin magnetization is 0.0 μB/f.u.

Please write out number 1 again, unchanged.
A relaxed structure of DyHoBiTe, computed with PBE-GGA.

It has space group P4mm (No. 99), with a = 4.4070 Å, b = 4.4070 Å, c = 6.2314 Å, α = 90.00°, β = 90.00° and γ = 90.00°. Symmetry generates all atoms from Dy at (0.0000, 0.0000, 0.0000), Ho at (0.5000, 0.5000, 0.5019), Bi at (0.5000, 0.5000, 0.0017) and Te at (0.0000, 0.0000, 0.5003).

The value obtained for the volume is 30.256 A^3/atom. The calculation puts the formation energy from raw total energies at -4.31 eV per formula unit. The spin magnetization is 0.0 μB/f.u.